# 1
MnBeSb2: relaxed, PBE.

The structure in POSCAR format:
```
MnBeSb2
1.0
4.034 0.000 0.000
0.000 5.141 0.000
0.000 0.000 3.748
Sb Mn Be
2 1 1
direct
0.000 0.000 0.000 Sb
0.500 0.500 0.000 Sb
0.000 0.500 0.500 Mn
0.500 0.000 0.500 Be
```

Results
Energy relative to the elements, uncorrected in eV/atom: 0.49



# 2
Nd2Al2PdPt5: relaxed, PBE.

The structure in POSCAR format:
```
Nd2Al2PdPt5
1.0
3.752 0.000 0.000
0.000 9.881 0.000
0.000 0.000 9.881
Nd Al Pd Pt
4 4 2 10
direct
0.000 0.680 0.180 Nd
0.000 0.320 0.820 Nd
0.000 0.180 0.320 Nd
0.000 0.820 0.680 Nd
0.000 0.120 0.620 Al
0.000 0.880 0.380 Al
0.000 0.620 0.880 Al
0.000 0.380 0.120 Al
0.000 0.000 0.000 Pd
0.000 0.500 0.500 Pd
0.500 0.208 0.062 Pt
0.500 0.792 0.938 Pt
0.500 0.062 0.792 Pt
0.500 0.708 0.438 Pt
0.500 0.938 0.208 Pt
0.500 0.292 0.562 Pt
0.500 0.562 0.708 Pt
0.500 0.438 0.292 Pt
0.500 0.500 0.000 Pt
0.500 0.000 0.500 Pt
```

Results
DFT formation energy in kcal/mol of atoms: -19.61



# 3
Tm5NpAs6: relaxed, PBE.

The structure in POSCAR format:
```
Tm5NpAs6
1.0
6.925 -0.108 -1.305
-3.742 5.828 -1.305
0.136 0.245 7.044
Np As Tm
1 6 5
direct
0.000 0.000 0.000 Np
0.417 0.084 0.251 As
0.916 0.583 0.749 As
0.250 0.250 0.751 As
0.750 0.750 0.249 As
0.084 0.417 0.251 As
0.583 0.916 0.749 As
0.833 0.167 0.500 Tm
0.667 0.333 0.000 Tm
0.500 0.500 0.500 Tm
0.333 0.667 0.000 Tm
0.167 0.833 0.500 Tm
```

Results
DFT formation energy in kcal/mol of atoms: -31.33



# 4
CaNd7In4: relaxed, PBE.

The structure in POSCAR format:
```
CaNd7In4
1.0
5.868 0.000 0.000
2.934 9.273 0.241
2.934 0.468 7.204
Ca Nd In
1 7 4
direct
0.000 0.000 0.000 Ca
0.789 0.876 0.545 Nd
0.211 0.124 0.455 Nd
0.059 0.619 0.263 Nd
0.941 0.381 0.737 Nd
0.303 0.629 0.765 Nd
0.500 0.000 0.000 Nd
0.697 0.371 0.235 Nd
0.562 0.231 0.644 In
0.438 0.769 0.356 In
0.684 0.670 0.961 In
0.316 0.330 0.039 In
```

Results
DFT formation energy in kcal/mol of atoms: -3.12



# 5
Ga3Co4Si: relaxed, PBE.

The structure in POSCAR format:
```
Ga3Co4Si
1.0
-2.609 0.787 0.332
-0.835 -2.123 -1.529
-0.819 -7.009 10.179
Si Co Ga
1 4 3
direct
0.500 0.500 0.000 Si
0.000 0.000 0.891 Co
0.000 0.000 0.109 Co
0.000 0.000 0.373 Co
0.000 0.000 0.627 Co
0.500 0.500 0.246 Ga
0.500 0.500 0.500 Ga
0.500 0.500 0.754 Ga
```

Results
Energy relative to the elements, uncorrected in eV/atom: -0.34



# 6
PmHoEr2S6: relaxed, PBE.

The structure in POSCAR format:
```
PmHoEr2S6
1.0
-0.553 2.787 6.317
-4.026 -3.003 4.770
3.257 -3.451 5.605
Pm Ho Er S
1 1 2 6
direct
0.811 0.811 0.567 Pm
0.316 0.316 0.053 Ho
0.517 0.517 0.449 Er
0.014 0.014 0.958 Er
0.616 0.224 0.247 S
0.224 0.913 0.247 S
0.913 0.616 0.247 S
0.398 0.722 0.749 S
0.722 0.131 0.749 S
0.131 0.398 0.749 S
```

Results
Energy relative to the elements, uncorrected in eV/atom: -2.05



# 7
TbCeSiAu: relaxed, PBE.

The structure in POSCAR format:
```
TbCeSiAu
1.0
-0.945 4.138 2.877
-4.670 0.729 1.989
-0.744 -0.503 5.049
Tb Si Au Ce
1 1 1 1
direct
0.750 0.750 0.750 Tb
0.000 0.000 0.000 Si
0.500 0.500 0.500 Au
0.250 0.250 0.250 Ce
```

Results
Energy relative to the elements, uncorrected in eV/atom: -0.57



# 8
AcCeLu2: relaxed, PBE.

The structure in POSCAR format:
```
AcCeLu2
1.0
-0.773 3.963 0.615
-3.506 -0.972 1.856
3.836 -0.348 7.064
Ac Lu Ce
1 2 1
direct
0.500 0.500 0.500 Ac
0.000 0.000 0.774 Lu
0.000 0.000 0.226 Lu
0.500 0.500 0.000 Ce
```

Results
Distance to the lowest polymorph of the same formula in meV per atom: 0.0
DFT formation energy in kcal/mol of atoms: 2.84



no.,uncorrected energy (eV/atom)
1,-4.798
2,-6.092
3,-6.625
4,-3.996
5,-5.703
6,-6.374
7,-5.391
8,-4.648